AlSnS2: relaxed, PBE.

Cell and atoms, written as POSCAR:
```
AlSnS2
1.0
-7.3323 -13.5197 0.6436
-3.1346 -3.6823 -4.3114
3.7226 2.9483 -4.4071
S Al Sn
4 2 2
Direct
0.2320 0.2147 0.7586 S
0.9284 0.1721 0.1021 S
0.7320 0.7414 0.2853 S
0.4284 0.3979 0.3279 S
0.8179 0.6672 0.0782 Al
0.3179 0.4218 0.8328 Al
0.0390 0.6897 0.8539 Sn
0.5390 0.6461 0.8103 Sn
```

Results
Space-group type: Cc, No. 9

=====

AlSnS2: relaxed, PBE.

Cell and atoms, written as POSCAR:
```
AlSnS2
1.0
-13.0737 -0.7097 -3.6670
12.1431 -1.6365 5.8940
-0.8395 2.6815 2.4740
S Al Sn
4 2 2
Direct
0.2142 0.7858 0.2500 S
0.7858 0.2142 0.7500 S
0.8771 0.1229 0.2500 S
0.1229 0.8771 0.7500 S
0.3068 0.6932 0.2500 Al
0.6932 0.3068 0.7500 Al
0.0555 0.9445 0.2500 Sn
0.9445 0.0555 0.7500 Sn
```

Results
Space-group type: Cmcm, No. 63

=====

AlSn4S5: relaxed, PBE.

Cell and atoms, written as POSCAR:
```
AlSn4S5
1.0
-4.0934 2.1892 3.2542
-2.0195 -4.2422 5.2516
2.4164 3.7274 5.4701
S Sn Al
5 4 1
Direct
0.2242 0.8797 0.6507 S
0.8749 0.3493 0.8797 S
0.7546 0.1203 0.3493 S
0.4713 0.0000 0.0000 S
0.1040 0.6507 0.1203 S
0.1991 0.2102 0.4043 Sn
0.6034 0.5957 0.2102 Sn
0.8136 0.7898 0.5957 Sn
0.4093 0.4043 0.7898 Sn
0.0558 0.0000 0.0000 Al
```

Results
Space-group type: I4, No. 79

=====

no.,DOS at the Fermi energy (states/eV/f.u.),formation energy from raw total energies (meV per atom)
1,0.7,-673.0
2,1.1,-445.8
3,3.1,-454.5